[1]
{
  "formula": "Nd2HoMg3Tl2Cd",
  "functional": "GGA-PBE",
  "state": "optimized geometry",
  "cell": [[4.699, 0.000, 0.000], [0.000, 6.569, 3.853], [0.000, -6.569, 3.853]],
  "species": ["Cd", "Tl", "Tl", "Mg", "Mg", "Mg", "Nd", "Nd", "Ho"],
  "fractional_positions": [[0.000, 0.008, 0.008], [0.500, 0.335, 0.661], [0.500, 0.661, 0.335], [0.500, 0.240, 0.001], [0.500, 0.762, 0.762], [0.500, 0.001, 0.240], [0.000, 0.998, 0.575], [0.000, 0.575, 0.998], [0.000, 0.421, 0.421]],
  "final_energy_ev_per_atom": -3.05,
  "magmom_total_mub_per_fu": 0.010,
  "volume_a3_per_cell": 237.8
}



[2]
{
  "formula": "CuPd2Pb",
  "functional": "GGA-PBE",
  "state": "optimized geometry",
  "cell": [[0.970, 0.138, 4.459], [-2.945, 1.912, 2.919], [-2.336, -2.612, 2.927]],
  "species": ["Cu", "Pb", "Pd", "Pd"],
  "fractional_positions": [[0.250, 0.250, 0.250], [0.500, 0.500, 0.500], [0.000, 0.000, 0.000], [0.750, 0.750, 0.750]],
  "final_energy_ev_per_atom": -4.52,
  "volume_a3_per_cell": 67.3
}



[3]
{
  "formula": "CsKPtS2",
  "functional": "GGA-PBE",
  "state": "optimized geometry",
  "cell": [[-1.849, 3.698, 5.036], [1.849, -3.698, 5.036], [1.849, 3.698, -5.036]],
  "species": ["S", "S", "Pt", "Cs", "K"],
  "fractional_positions": [[0.296, 0.502, 0.795], [0.707, 0.502, 0.205], [0.502, 0.002, 0.500], [0.189, 0.189, 0.000], [0.805, 0.805, 0.000]],
  "final_energy_ev_per_atom": -4.15,
  "magmom_total_mub_per_fu": 0.000,
  "volume_a3_per_cell": 137.8
}



[4]
{
  "formula": "ScAlFeNi",
  "functional": "GGA-PBE",
  "state": "optimized geometry",
  "cell": [[0.000, 3.034, 3.034], [3.034, 0.000, 3.034], [3.034, 3.034, 0.000]],
  "species": ["Ni", "Fe", "Al", "Sc"],
  "fractional_positions": [[0.250, 0.250, 0.250], [0.500, 0.500, 0.500], [0.000, 0.000, 0.000], [0.750, 0.750, 0.750]],
  "final_energy_ev_per_atom": -6.08,
  "magmom_total_mub_per_fu": 2.826,
  "volume_a3_per_cell": 55.8
}



[5]
{
  "formula": "NaLuHgO3",
  "functional": "GGA-PBE",
  "state": "optimized geometry",
  "cell": [[1.734, -6.134, 0.000], [1.734, 6.134, 0.000], [0.000, 0.000, 8.619]],
  "species": ["Na", "Na", "O", "O", "O", "O", "O", "O", "Hg", "Hg", "Lu", "Lu"],
  "fractional_positions": [[0.653, 0.347, 0.750], [0.347, 0.653, 0.250], [0.382, 0.618, 0.515], [0.618, 0.382, 0.485], [0.618, 0.382, 0.015], [0.028, 0.972, 0.750], [0.382, 0.618, 0.985], [0.972, 0.028, 0.250], [0.364, 0.636, 0.750], [0.636, 0.364, 0.250], [0.000, 0.000, 0.000], [0.000, 0.000, 0.500]],
  "final_energy_ev_per_atom": -5.40,
  "magmom_total_mub_per_fu": 0.000,
  "volume_a3_per_cell": 183.4
}



[6]
{
  "formula": "ScReMo",
  "functional": "GGA-PBE",
  "state": "optimized geometry",
  "cell": [[-2.648, 2.672, 3.762], [2.648, -2.672, 3.762], [2.648, 2.672, -3.762]],
  "species": ["Sc", "Sc", "Re", "Re", "Mo", "Mo"],
  "fractional_positions": [[0.127, 0.877, 0.250], [0.873, 0.123, 0.750], [0.500, 0.500, 0.500], [0.500, 0.000, 0.000], [0.500, 0.500, 0.000], [0.000, 0.500, 0.500]],
  "ef_mev_per_atom": -192,
  "final_energy_ev_per_atom": -10.06,
  "magmom_total_mub_per_fu": 0.001,
  "volume_a3_per_cell": 106.5
}